An optimized crystal structure of CaAlI3. Source: Alexandria, functional PBEsol.

The structure belongs to space group Pm-3m (No. 221); the cell edges are 5.962, 5.962 and 5.962 Å and the angles 90.00°, 90.00° and 90.00°. The inequivalent atoms are Ca at (0.000, 0.000, 0.000), Al at (0.500, 0.500, 0.500) and I at (0.000, 0.000, 0.500).

The total energy comes out at -14.943 eV for the cell shown.